#P
Entry from Alexandria via LeMat-Bulk: a relaxed HgSeBr2 crystal (PBE).

The calculation puts the total magnetization at 0.00 μB per formula unit.

The space group is P4/mmm (No. 123) and the conventional cell measures 5.320, 5.320 and 3.562 Å, with angles of 90.00, 90.00 and 90.00 degrees. The inequivalent atoms are Hg at (0.000, 0.000, 0.000), Se at (0.500, 0.500, 0.000) and Br at (0.000, 0.500, 0.500).

#Q
Entry from Alexandria via LeMat-Bulk: a relaxed HgSeBr2 crystal (PBE).

The calculation puts the total magnetization at 0.00 μB per formula unit.

The space group is Pmmm (No. 47) and the conventional cell measures 3.938, 4.108 and 7.318 Å, with angles of 90.00, 90.00 and 90.00 degrees. The inequivalent atoms are Hg at (0.000, 0.000, 0.000), Se at (0.500, 0.000, 0.500), Br at (0.000, 0.500, 0.500) and Br at (0.500, 0.500, 0.000).

It turns out #Q is the most stable, with the second structure 29.9 kJ/mol of atoms higher.

#P
Entry from Alexandria via LeMat-Bulk: a relaxed BeRe2 crystal (PBE).

The calculation puts the total magnetization at 0.00 μB per formula unit.

The space group is Pnnm (No. 58) and the conventional cell measures 4.756, 5.369 and 3.058 Å, with angles of 90.00, 90.00 and 90.00 degrees. The inequivalent atoms are Be at (0.000, 0.000, 0.000) and Re at (0.221, 0.352, 0.000).

#Q
Entry from Alexandria via LeMat-Bulk: a relaxed BeRe2 crystal (PBE).

The calculation puts the total magnetization at 0.00 μB per formula unit.

The space group is I4/mcm (No. 140) and the conventional cell measures 5.663, 5.663 and 4.609 Å, with angles of 90.00, 90.00 and 90.00 degrees. The inequivalent atoms are Be at (0.000, 0.000, 0.250) and Re at (0.162, 0.338, 0.000).

It turns out #Q is the most stable, with the second structure 78.6 kJ/mol of atoms higher.

#P
Entry from Alexandria via LeMat-Bulk: a relaxed ReAg crystal (PBE).

The calculation puts the total magnetization at 0.00 μB per formula unit.

The space group is P4/nmm (No. 129, origin choice 2) and the conventional cell measures 2.938, 2.938 and 7.817 Å, with angles of 90.00, 90.00 and 90.00 degrees. The inequivalent atoms are Re at (0.250, 0.250, 0.095) and Ag at (0.250, 0.250, 0.630).

#Q
Entry from Alexandria via LeMat-Bulk: a relaxed ReAg crystal (PBE).

The calculation puts the total magnetization at 0.00 μB per formula unit.

The space group is P4_2/mnm (No. 136) and the conventional cell measures 8.749, 8.749 and 2.573 Å, with angles of 90.00, 90.00 and 90.00 degrees. The inequivalent atoms are Re at (0.096, 0.096, 0.000) and Ag at (0.204, 0.796, 0.000).

It turns out #P is the most stable, with the second structure 88.8 kJ/mol of atoms higher.

#P
Entry from Alexandria via LeMat-Bulk: a relaxed YMo2Os crystal (PBE).

The calculation puts the total magnetization at 0.00 μB per formula unit.

The space group is Fm-3m (No. 225) and the conventional cell measures 6.490, 6.490 and 6.490 Å, with angles of 90.00, 90.00 and 90.00 degrees. The inequivalent atoms are Y at (0.000, 0.000, 0.000), Mo at (0.250, 0.250, 0.250) and Os at (0.000, 0.000, 0.500).

#Q
Entry from Alexandria via LeMat-Bulk: a relaxed YMo2Os crystal (PBE).

The calculation puts the total magnetization at 0.00 μB per formula unit.

The space group is R3m (No. 160, hexagonal axes) and the conventional cell measures 3.0832, 3.0832 and 26.5453 Å, with angles of 90.00, 90.00 and 120.00 degrees. The inequivalent atoms are Y at (0.0000, 0.0000, 0.0000), Mo at (0.0000, 0.0000, 0.5006), Mo at (0.0000, 0.0000, 0.7615) and Os at (0.0000, 0.0000, 0.2423).

It turns out #P is the most stable, with the second structure 19.1 kJ/mol of atoms higher.